# 1
VASP calculation (PBE) on a relaxed structure of CaPrThN3.

VASP energy   -46.71 eV per formula unit
Calculated volume   17.0 A^3/atom

Cell lengths 6.2298, 3.6348, 9.1959 Å; angles 90.00, 102.08, 90.00 degrees
Space group P2_1/m (No. 11)
Asymmetric unit:
Ca (0.1343, 0.2500, 0.1338)
Pr (0.3641, 0.2500, 0.8264)
Th (0.2337, 0.7500, 0.4511)
N (0.0371, 0.7500, 0.6439)
N (0.2683, 0.7500, 0.0029)
N (0.4536, 0.2500, 0.3486)


# 2
VASP calculation (PBE) on a relaxed structure of CaPr3Th2N6.

VASP energy   -97.88 eV per formula unit
DOS at the Fermi energy   2.283 states/eV/f.u.
Calculated volume   17.4 A^3/atom

Cell lengths 15.8818, 3.6805, 7.3440 Å; angles 90.00, 103.67, 90.00 degrees
Space group C2/m (No. 12)
Asymmetric unit:
Ca (0.0000, 0.0000, 0.0000)
Pr (0.0000, 0.0000, 0.5000)
Pr (0.1631, 0.5000, 0.8362)
Th (0.1637, 0.5000, 0.3267)
N (0.0061, 0.5000, 0.2593)
N (0.1686, 0.0000, 0.0955)
N (0.1704, 0.0000, 0.5727)


# 3
VASP calculation (PBE) on a relaxed structure of Ca3PrU2N6.

VASP energy   -98.71 eV per formula unit
DOS at the Fermi energy   7.373 states/eV/f.u.
Calculated volume   15.6 A^3/atom

Cell lengths 15.3408, 3.5481, 7.0706 Å; angles 90.00, 102.70, 90.00 degrees
Space group C2/m (No. 12)
Asymmetric unit:
Ca (0.0000, 0.0000, 0.0000)
Ca (0.1684, 0.5000, 0.3338)
Pr (0.0000, 0.0000, 0.5000)
U (0.1665, 0.5000, 0.8328)
N (0.0205, 0.5000, 0.7637)
N (0.1687, 0.0000, 0.6171)
N (0.1790, 0.0000, 0.0641)


# 4
VASP calculation (PBE) on a relaxed structure of Ca2PrUN4.

VASP energy   -63.59 eV per formula unit
DOS at the Fermi energy   3.013 states/eV/f.u.
Calculated volume   15.9 A^3/atom

Cell lengths 6.0848, 3.5843, 6.1887 Å; angles 90.00, 109.89, 90.00 degrees
Space group P2/m (No. 10)
Asymmetric unit:
Ca (0.0000, 0.0000, 0.0000)
Ca (0.0000, 0.5000, 0.5000)
Pr (0.5000, 0.0000, 0.5000)
U (0.5000, 0.5000, 0.0000)
N (0.2783, 0.0000, 0.7785)
N (0.2846, 0.5000, 0.2190)


# 5
VASP calculation (PBE) on a relaxed structure of CaPrZnN2.

VASP energy   -27.27 eV per formula unit
DOS at the Fermi energy   2.629 states/eV/f.u.
Calculated volume   19.6 A^3/atom

Cell lengths 5.2184, 5.5837, 6.7134 Å; angles 90.00, 90.00, 90.00 degrees
Space group Pccm (No. 49)
Asymmetric unit:
Ca (0.0000, 0.0000, 0.2500)
Pr (0.5000, 0.5000, 0.2500)
Zn (0.5000, 0.0000, 0.0000)
N (0.2636, 0.2509, 0.0000)


# 6
VASP calculation (PBE) on a relaxed structure of Ca6Pt2N.

VASP energy   -39.22 eV per formula unit
DOS at the Fermi energy   4.739 states/eV/f.u.
Calculated volume   26.1 A^3/atom

Cell lengths 6.6131, 7.5663, 11.3962 Å; angles 90.00, 124.46, 90.00 degrees
Space group P2_1/c (No. 14)
Asymmetric unit:
Ca (0.1251, 0.0342, 0.2406)
Ca (0.2087, 0.7074, 0.0572)
Ca (0.3612, 0.1555, 0.0566)
Pt (0.2861, 0.1055, 0.7481)
N (0.0000, 0.0000, 0.0000)


# 7
VASP calculation (PBE) on a relaxed structure of Ca7PtN6.

VASP energy   -78.36 eV per formula unit
DOS at the Fermi energy   5.546 states/eV/f.u.
Calculated volume   16.5 A^3/atom

Cell lengths 6.3400, 11.9545, 12.2069 Å; angles 90.00, 90.00, 90.00 degrees
Space group Ibam (No. 72)
Asymmetric unit:
Ca (0.0000, 0.0000, 0.2500)
Ca (0.1328, 0.2821, 0.1312)
Ca (0.2231, 0.0480, 0.0000)
Pt (0.0000, 0.5000, 0.2500)
N (0.1097, 0.1447, 0.5000)
N (0.1979, 0.3778, 0.3057)


# 8
VASP calculation (PBE) on a relaxed structure of Ca2PtN.

VASP energy   -19.78 eV per formula unit
DOS at the Fermi energy   1.666 states/eV/f.u.
Calculated volume   19.8 A^3/atom

Cell lengths 7.1323, 7.1323, 6.2400 Å; angles 90.00, 90.00, 90.00 degrees
Space group I-42d (No. 122)
Asymmetric unit:
Ca (0.1772, 0.2500, 0.1250)
Pt (0.0000, 0.0000, 0.5000)
N (0.0000, 0.0000, 0.0000)